# ReSb2SeI | the Alexandria database | PBE | optimized geometry
data_ReSb2SeI
_chemical_formula_sum 'Re1 Sb2 Se1 I1'
_space_group_name_H-M_alt 'P 4/m m m'
_space_group_IT_number 123
_space_group_name_Hall '-P 4 2'
_cell_length_a 5.168
_cell_length_b 5.168
_cell_length_c 5.380
_cell_angle_alpha 90.00
_cell_angle_beta 90.00
_cell_angle_gamma 90.00
loop_
_atom_site_label
_atom_site_type_symbol
_atom_site_fract_x
_atom_site_fract_y
_atom_site_fract_z
Re1 Re 0.000 0.000 0.000
Sb1 Sb 0.000 0.500 0.000
Se1 Se 0.500 0.500 0.500
I1 I 0.000 0.000 0.500
# Energy relative to the elements, uncorrected ... 0.711 eV per atom
# Total DFT energy (no corrections) ... -4.434 eV per atom

# ReSbSeI2 | the Alexandria database | PBE | optimized geometry
data_ReSbSeI2
_chemical_formula_sum 'Re1 Sb1 Se1 I2'
_space_group_name_H-M_alt 'P 4/m m m'
_space_group_IT_number 123
_space_group_name_Hall '-P 4 2'
_cell_length_a 5.302
_cell_length_b 5.302
_cell_length_c 5.298
_cell_angle_alpha 90.00
_cell_angle_beta 90.00
_cell_angle_gamma 90.00
loop_
_atom_site_label
_atom_site_type_symbol
_atom_site_fract_x
_atom_site_fract_y
_atom_site_fract_z
Re1 Re 0.000 0.000 0.000
Sb1 Sb 0.000 0.000 0.500
Se1 Se 0.500 0.500 0.500
I1 I 0.000 0.500 0.000
# Energy relative to the elements, uncorrected ... 0.839 eV per atom
# Total DFT energy (no corrections) ... -3.792 eV per atom

# ReSb2SeI | the Alexandria database | PBE | optimized geometry
data_ReSb2SeI
_chemical_formula_sum 'Re1 Sb2 Se1 I1'
_space_group_name_H-M_alt 'P 4/m m m'
_space_group_IT_number 123
_space_group_name_Hall '-P 4 2'
_cell_length_a 5.408
_cell_length_b 5.408
_cell_length_c 5.623
_cell_angle_alpha 90.00
_cell_angle_beta 90.00
_cell_angle_gamma 90.00
loop_
_atom_site_label
_atom_site_type_symbol
_atom_site_fract_x
_atom_site_fract_y
_atom_site_fract_z
Re1 Re 0.000 0.000 0.000
Sb1 Sb 0.000 0.500 0.500
Se1 Se 0.500 0.500 0.500
I1 I 0.500 0.500 0.000
# Energy relative to the elements, uncorrected ... 1.648 eV per atom
# Total DFT energy (no corrections) ... -3.497 eV per atom

# ReSbSeI2 | the Alexandria database | PBE | optimized geometry
data_ReSbSeI2
_chemical_formula_sum 'Re1 Sb1 Se1 I2'
_space_group_name_H-M_alt 'P 4/m m m'
_space_group_IT_number 123
_space_group_name_Hall '-P 4 2'
_cell_length_a 5.686
_cell_length_b 5.686
_cell_length_c 5.637
_cell_angle_alpha 90.00
_cell_angle_beta 90.00
_cell_angle_gamma 90.00
loop_
_atom_site_label
_atom_site_type_symbol
_atom_site_fract_x
_atom_site_fract_y
_atom_site_fract_z
Re1 Re 0.000 0.000 0.000
Sb1 Sb 0.500 0.500 0.000
Se1 Se 0.500 0.500 0.500
I1 I 0.000 0.500 0.500
# Energy relative to the elements, uncorrected ... 1.568 eV per atom
# Total DFT energy (no corrections) ... -3.063 eV per atom

total DFT energy (no corrections) of number 4 (ReSbSeI2)? -3.063 eV per atom

Please write out number 4 again, unchanged.
# ReSbSeI2 | the Alexandria database | PBE | optimized geometry
data_ReSbSeI2
_chemical_formula_sum 'Re1 Sb1 Se1 I2'
_space_group_name_H-M_alt 'P 4/m m m'
_space_group_IT_number 123
_space_group_name_Hall '-P 4 2'
_cell_length_a 5.686
_cell_length_b 5.686
_cell_length_c 5.637
_cell_angle_alpha 90.00
_cell_angle_beta 90.00
_cell_angle_gamma 90.00
loop_
_atom_site_label
_atom_site_type_symbol
_atom_site_fract_x
_atom_site_fract_y
_atom_site_fract_z
Re1 Re 0.000 0.000 0.000
Sb1 Sb 0.500 0.500 0.000
Se1 Se 0.500 0.500 0.500
I1 I 0.000 0.500 0.500
# Energy relative to the elements, uncorrected ... 1.568 eV per atom
# Total DFT energy (no corrections) ... -3.063 eV per atom